Entry from the Alexandria database: a relaxed ScCoIr3 crystal (GGA-PBE).

Output
Formation enthalpy at 0 K   3.15 eV per formula unit
Energy relative to the lowest polymorph listed for this composition   0 meV/atom
Total moment   0.7653 μB per atom

The structure in CIF format:
```
data_ScCoIr3
_chemical_formula_sum 'Sc1 Co1 Ir3'
_cell_length_a 4.479
_cell_length_b 4.479
_cell_length_c 4.479
_cell_angle_alpha 90.00
_cell_angle_beta 90.00
_cell_angle_gamma 90.00
_space_group_name_H-M_alt 'P m -3 m'
_space_group_IT_number 221
_space_group_name_Hall '-P 4 2 3'
loop_
_atom_site_label
_atom_site_fract_x
_atom_site_fract_y
_atom_site_fract_z
_atom_site_occupancy
Sc1 0.000 0.000 0.000 1
Co1 0.500 0.500 0.500 1
Ir1 0.000 0.500 0.500 1
```

Entry from the Alexandria database: a relaxed ScCoIr2 crystal (GGA-PBE).

Output
Formation enthalpy at 0 K   -0.54 eV per formula unit
Total moment   0.3820 μB per atom

The structure in CIF format:
```
data_ScCoIr2
_chemical_formula_sum 'Sc1 Co1 Ir2'
_cell_length_a 3.201
_cell_length_b 3.201
_cell_length_c 5.957
_cell_angle_alpha 90.00
_cell_angle_beta 90.00
_cell_angle_gamma 90.00
_space_group_name_H-M_alt 'P 4 m m'
_space_group_IT_number 99
_space_group_name_Hall 'P 4 -2'
loop_
_atom_site_label
_atom_site_fract_x
_atom_site_fract_y
_atom_site_fract_z
_atom_site_occupancy
Sc1 0.000 0.000 0.000 1
Co1 0.500 0.500 0.288 1
Ir1 0.000 0.000 0.457 1
Ir2 0.500 0.500 0.738 1
```

Entry from the Alexandria database: a relaxed ScCoIr2 crystal (GGA-PBE).

Output
Formation enthalpy at 0 K   -1.21 eV per formula unit
Total moment   0.1560 μB per atom

The structure in CIF format:
```
data_ScCoIr2
_chemical_formula_sum 'Sc2 Co2 Ir4'
_cell_length_a 9.121
_cell_length_b 2.834
_cell_length_c 4.664
_cell_angle_alpha 90.00
_cell_angle_beta 101.33
_cell_angle_gamma 90.00
_space_group_name_H-M_alt 'C 1 m 1'
_space_group_IT_number 8
_space_group_name_Hall 'C -2y'
loop_
_atom_site_label
_atom_site_fract_x
_atom_site_fract_y
_atom_site_fract_z
_atom_site_occupancy
Sc1 0.000 0.000 0.000 1
Co1 0.243 0.000 0.744 1
Ir1 0.004 0.500 0.508 1
Ir2 0.258 0.500 0.294 1
```

Entry from the Alexandria database: a relaxed Sc2CoIr crystal (GGA-PBE).

Output
Formation enthalpy at 0 K   -2.88 eV per formula unit
Energy relative to the lowest polymorph listed for this composition   0 meV/atom
Total moment   0.0345 μB per atom

The structure in CIF format:
```
data_Sc2CoIr
_chemical_formula_sum 'Sc8 Co4 Ir4'
_cell_length_a 6.369
_cell_length_b 6.369
_cell_length_c 6.369
_cell_angle_alpha 90.00
_cell_angle_beta 90.00
_cell_angle_gamma 90.00
_space_group_name_H-M_alt 'F m -3 m'
_space_group_IT_number 225
_space_group_name_Hall '-F 4 2 3'
loop_
_atom_site_label
_atom_site_fract_x
_atom_site_fract_y
_atom_site_fract_z
_atom_site_occupancy
Sc1 0.250 0.250 0.250 1
Co1 0.000 0.000 0.000 1
Ir1 0.000 0.000 0.500 1
```

Question: What is the total moment in the third record?
Answer: 0.1560 μB per atom

Question: Which of these has the highest total moment?
Answer: ScCoIr3

Question: The lowest total moment belongs to which entry?
Answer: Sc2CoIr